Compound: Ce2ZnOs
Source: the Alexandria database
Functional: PBE
Structure: relaxed

Cell and atoms, written as POSCAR:
```
Ce2ZnOs
1.0
2.016 1.164 9.349
-2.016 1.164 9.349
0.000 -2.327 9.349
Ce Zn Os
2 1 1
Direct
0.114 0.114 0.114
0.886 0.886 0.886
0.000 0.000 0.000
0.500 0.500 0.500
```

Computed properties:
total magnetic moment	1.2	μB per cell
SG	No. 166
calculated total energy	-5.86	eV/atom